Below is a relaxed Cd2CuPt3 crystal, with properties calculated at the PBE-GGA level.

a = 2.966 Å, b = 2.966 Å, c = 11.132 Å
α = 90.00°, β = 90.00°, γ = 90.00°
Space group P4/mmm (No. 123)
Symmetry-distinct sites (fractional):
Cd  0.000  0.000  0.179 (multiplicity 2)
Cu  0.000  0.000  0.500 (multiplicity 1)
Pt  0.500  0.500  0.000 (multiplicity 1)
Pt  0.500  0.500  0.356 (multiplicity 2)

Properties
- DFT formation energy (meV/atom) = -264.2
- E (eV per atom) = -4.27
- V (Å³/f.u.) = 97.9

---

Below is a relaxed HfZr5Os6 crystal, with properties calculated at the PBE-GGA level.

a = 4.647 Å, b = 13.935 Å, c = 6.540 Å
α = 90.00°, β = 90.00°, γ = 90.00°
Space group Cmmm (No. 65)
Symmetry-distinct sites (fractional):
Hf  0.000  0.000  0.000 (multiplicity 2)
Zr  0.000  0.000  0.500 (multiplicity 2)
Zr  0.000  0.333  0.500 (multiplicity 4)
Zr  0.000  0.334  0.000 (multiplicity 4)
Os  0.000  0.166  0.249 (multiplicity 8)
Os  0.000  0.500  0.248 (multiplicity 4)

Properties
- DFT formation energy (meV/atom) = -555.6
- E (eV per atom) = -10.56
- V (Å³/f.u.) = 211.8

---

Below is a relaxed CuRhBr2 crystal, with properties calculated at the PBE-GGA level.

a = 5.921 Å, b = 5.921 Å, c = 11.164 Å
α = 90.00°, β = 90.00°, γ = 90.00°
Space group I-42d (No. 122)
Symmetry-distinct sites (fractional):
Cu  0.000  0.000  0.000 (multiplicity 4)
Rh  0.000  0.000  0.500 (multiplicity 4)
Br  0.233  0.250  0.125 (multiplicity 8)

Properties
- formation energy (no corrections) (eV/atom) = 0.23
- E (eV per atom) = -3.47
- polymorph energy (0 for the lowest one) (eV/atom) = 0.239
- V (Å³/f.u.) = 97.8

---

Below is a relaxed BaMn3Zn crystal, with properties calculated at the PBE-GGA level.

a = 4.951 Å, b = 4.951 Å, c = 4.951 Å
α = 90.00°, β = 90.00°, γ = 90.00°
Space group Pm-3m (No. 221)
Symmetry-distinct sites (fractional):
Ba  0.000  0.000  0.000 (multiplicity 1)
Mn  0.000  0.500  0.500 (multiplicity 3)
Zn  0.500  0.500  0.500 (multiplicity 1)

Properties
- DFT formation energy (meV/atom) = 713.8
- E (eV per atom) = -5.43
- polymorph energy (0 for the lowest one) (eV/atom) = 0.000
- V (Å³/f.u.) = 121.4